Computed, not measured: an optimized crystal structure of ZrTiBe2Te at the PBE level of DFT.

```
data_ZrTiBe2Te
_chemical_formula_sum 'Zr1 Ti1 Be2 Te1'
_space_group_name_H-M_alt 'P 4/m m m'
_space_group_IT_number 123
_space_group_name_Hall '-P 4 2'
_cell_length_a 4.602
_cell_length_b 4.602
_cell_length_c 5.315
_cell_angle_alpha 90.00
_cell_angle_beta 90.00
_cell_angle_gamma 90.00
loop_
_atom_site_label
_atom_site_type_symbol
_atom_site_fract_x
_atom_site_fract_y
_atom_site_fract_z
Zr1 Zr 0.000 0.000 0.000
Ti1 Ti 0.500 0.500 0.500
Be1 Be 0.000 0.500 0.000
Te1 Te 0.000 0.000 0.500
```

Results
Calculated density   4.20 Mg/m³
E_form (uncorrected)   1.16 eV/atom